A plane-wave DFT calculation with PBE-GGA was carried out for an optimized crystal structure of GdErSi2W2C.

Total moment in μB/f.u.: 0.0
Space-group type: No. 8
Energy in eV for the cell shown: -58.995

Unit cell a=5.869 b=5.869 c=7.128 alpha=123.12 beta=123.12 gamma=38.18
Fractional coordinates of all 7 atoms:
C 0.999 0.999 0.996
Si 0.868 0.868 0.339
Si 0.132 0.132 0.663
W 0.207 0.207 0.083
W 0.792 0.792 0.916
Er 0.426 0.426 0.705
Gd 0.575 0.575 0.298